Below is a relaxed SrMg6Ti crystal, with properties calculated at the PBE level.

Computed properties:
- calculated density (g/cm3) = 2.32
- ΔH_f (0 K) (meV/atom) = 110
- N(E_F) (states/eV/atom) = 0.623
- symmetry = P4/mmm, No. 123

Lattice parameters (Å, degrees): 6.7441 6.7441 4.4244 90.00 90.00 90.00
Last column: magnetic moment on the atom in μB.
Sites, in units of the cell vectors:
Mg  0.7236  0.2764  0.0000  0.01
Mg  0.0000  0.5000  0.5000  -0.01
Mg  0.2764  0.7236  0.0000  0.01
Mg  0.7236  0.7236  0.0000  0.01
Mg  0.2764  0.2764  0.0000  0.01
Mg  0.5000  0.0000  0.5000  -0.01
Ti  0.5000  0.5000  0.5000  1.32
Sr  0.0000  0.0000  0.5000  0.01